Entry 1:
CsFe | PBE | optimized geometry

Lattice parameters (Å, degrees): 10.3860 10.3860 10.3860 90.00 90.00 90.00
Last column: nearest neighbours and their distance in Å.
Fractional positions:
Cs  0.2500  0.0000  0.5000  4 Fe 3.67
Cs  0.7500  0.0000  0.5000  4 Fe 3.67
Cs  0.0000  0.5000  0.2500  4 Fe 3.67
Cs  0.0000  0.5000  0.7500  4 Fe 3.67
Cs  0.5000  0.2500  0.0000  4 Fe 3.67
Cs  0.5000  0.7500  0.0000  4 Fe 3.67
Fe  0.2500  0.5000  0.0000  4 Cs 3.67
Fe  0.7500  0.5000  0.0000  4 Cs 3.67
Fe  0.5000  0.0000  0.2500  4 Cs 3.67
Fe  0.5000  0.0000  0.7500  4 Cs 3.67
Fe  0.0000  0.2500  0.5000  4 Cs 3.67
Fe  0.0000  0.7500  0.5000  4 Cs 3.67

Fermi-level density of states	5.01	states/eV per atom
energy of formation from the pure elements	1884	meV/atom
V	93.36	Å³/atom
offset from the most stable computed form	23.712	kcal/mol of atoms
total magnetization	2.98	μB/f.u.

---

Entry 2:
SrPmEuY | PBE | optimized geometry

Lattice parameters (Å, degrees): 6.0367 6.0367 6.0367 60.00 60.00 60.00
Last column: nearest neighbours and their distance in Å.
Fractional positions:
Eu  0.0000  0.0000  0.0000  4 Y 3.70, 4 Sr 3.70
Y  0.2500  0.2500  0.2500  4 Eu 3.70, 4 Pm 3.70
Sr  0.7500  0.7500  0.7500  4 Pm 3.70, 4 Eu 3.70
Pm  0.5000  0.5000  0.5000  4 Sr 3.70, 4 Y 3.70

Fermi-level density of states	1.48	states/eV per atom
energy of formation from the pure elements	195	meV/atom
V	38.89	Å³/atom
total magnetization	7.43	μB/f.u.